1.
This record from the Alexandria database describes an optimized crystal structure of CaCeAu10. The functional is GGA-PBE.

The space group is Pmmm (No. 47) and the conventional cell measures 4.742, 5.586 and 9.709 Å, with angles of 90.00, 90.00 and 90.00 degrees. The asymmetric unit holds Ca at (0.000, 0.000, 0.000), Ce at (0.000, 0.500, 0.500), Au at (0.000, 0.000, 0.332), Au at (0.000, 0.500, 0.164), Au at (0.500, 0.000, 0.500), Au at (0.500, 0.252, 0.253) and Au at (0.500, 0.500, 0.000).

Its formation energy is -0.3720 eV per atom. Its total magnetization is 0.1039 μB per atom. The total energy is -45.17 eV/cell. The calculation puts the calculated volume at 257 Å³ per cell.

2.
This record from the Alexandria database describes an optimized crystal structure of CaCe2Au4. The functional is GGA-PBE.

The space group is I4/mmm (No. 139) and the conventional cell measures 5.315, 5.315 and 13.035 Å, with angles of 90.00, 90.00 and 90.00 degrees. The asymmetric unit holds Ca at (0.000, 0.000, 0.000), Ce at (0.000, 0.000, 0.276) and Au at (0.000, 0.500, 0.118).

Its formation energy is -0.5357 eV per atom. Its total magnetization is 0.3167 μB per atom. The total energy is -61.46 eV/cell. The calculation puts the calculated volume at 368 Å³ per cell.

3.
This record from the Alexandria database describes an optimized crystal structure of CaCeAu. The functional is GGA-PBE.

The space group is F-43m (No. 216) and the conventional cell measures 7.207, 7.207 and 7.207 Å, with angles of 90.00, 90.00 and 90.00 degrees. The asymmetric unit holds Ca at (0.000, 0.000, 0.000), Ce at (0.000, 0.000, 0.500) and Au at (0.250, 0.250, 0.250).

Its formation energy is -0.3262 eV per atom. The energy above the most stable polymorph in this dataset comes out at 6.8 kJ per mole of atoms. Its total magnetization is 0.3850 μB per atom. The total energy is -48.77 eV/cell. The calculation puts the calculated volume at 374 Å³ per cell.

4.
This record from the Alexandria database describes an optimized crystal structure of CaCe2Au3. The functional is GGA-PBE.

The space group is P4/mmm (No. 123) and the conventional cell measures 3.645, 3.645 and 11.293 Å, with angles of 90.00, 90.00 and 90.00 degrees. The asymmetric unit holds Ca at (0.000, 0.000, 0.000), Ce at (0.000, 0.000, 0.331), Au at (0.500, 0.500, 0.170) and Au at (0.500, 0.500, 0.500).

Its formation energy is -0.6630 eV per atom. The energy above the most stable polymorph in this dataset comes out at 0.3 kJ per mole of atoms. Its total magnetization is 0.3326 μB per atom. The total energy is -27.68 eV/cell. The calculation puts the calculated volume at 150 Å³ per cell.

5.
This record from the Alexandria database describes an optimized crystal structure of CaCeAu. The functional is GGA-PBE.

The space group is C2/m (No. 12) and the conventional cell measures 11.377, 3.451 and 8.397 Å, with angles of 90.00, 105.90 and 90.00 degrees. The asymmetric unit holds Ca at (0.148, 0.000, 0.104), Ce at (0.139, 0.000, 0.521) and Au at (0.048, 0.500, 0.781).

Its formation energy is -0.3970 eV per atom. The energy above the most stable polymorph in this dataset comes out at 0.0 kJ per mole of atoms. Its total magnetization is 0.2813 μB per atom. The total energy is -49.61 eV/cell. The calculation puts the calculated volume at 317 Å³ per cell.

6.
This record from the Alexandria database describes an optimized crystal structure of CaCe2Au3. The functional is GGA-PBE.

The space group is P-3m1 (No. 164) and the conventional cell measures 5.2024, 5.2024 and 12.7730 Å, with angles of 90.00, 90.00 and 120.00 degrees. The asymmetric unit holds Ca at (0.3333, 0.6667, 0.1653), Ce at (0.0000, 0.0000, 0.0000), Ce at (0.0000, 0.0000, 0.5000), Ce at (0.3333, 0.6667, 0.6686), Au at (0.0000, 0.0000, 0.2505), Au at (0.3333, 0.6667, 0.4161) and Au at (0.3333, 0.6667, 0.9177).

Its formation energy is -0.6657 eV per atom. The energy above the most stable polymorph in this dataset comes out at 0.0 kJ per mole of atoms. Its total magnetization is 0.3393 μB per atom. The total energy is -55.39 eV/cell. The calculation puts the calculated volume at 299 Å³ per cell.

7.
This record from the Alexandria database describes an optimized crystal structure of Ca3CeAu4. The functional is GGA-PBE.

The space group is Im-3m (No. 229) and the conventional cell measures 7.300, 7.300 and 7.300 Å, with angles of 90.00, 90.00 and 90.00 degrees. The asymmetric unit holds Ca at (0.000, 0.000, 0.500), Ce at (0.000, 0.000, 0.000) and Au at (0.250, 0.250, 0.250).

Its formation energy is -0.7412 eV per atom. Its total magnetization is 0.1192 μB per atom. The total energy is -61.96 eV/cell. The calculation puts the calculated volume at 389 Å³ per cell.

8.
This record from the Alexandria database describes an optimized crystal structure of CaCeAu3. The functional is GGA-PBE.

The space group is Cmcm (No. 63) and the conventional cell measures 3.660, 28.394 and 4.686 Å, with angles of 90.00, 90.00 and 90.00 degrees. The asymmetric unit holds Ca at (0.000, 0.208, 0.250), Ce at (0.000, 0.073, 0.750), Au at (0.000, 0.320, 0.250), Au at (0.000, 0.378, 0.750) and Au at (0.000, 0.475, 0.750).

Its formation energy is -0.6910 eV per atom. Its total magnetization is 0.2263 μB per atom. The total energy is -84.89 eV/cell. The calculation puts the calculated volume at 487 Å³ per cell.